(1)
The following is a GGA-PBE calculation of a geometry-optimized KLiPAu2 structure, from the Alexandria database.

Structure (POSCAR):
```
KLiPAu2
1.0
4.942 0.000 0.000
0.000 4.942 0.000
0.000 0.000 4.807
Au K Li P
2 1 1 1
Cartesian
2.471 0.000 0.000 Au
0.000 2.471 0.000 Au
2.471 2.471 2.404 K
0.000 0.000 2.404 Li
0.000 0.000 0.000 P
```

Properties
- Total energy: -3.30 eV/atom
- N(E_F): 0.26 states/eV per atom
- Calculated volume: 117 Å³ per cell
- Size of the total moment: 0.0 μB per cell

=====

(2)
The following is a GGA-PBE calculation of a geometry-optimized AgSbF4 structure, from the Alexandria database.

Structure (POSCAR):
```
AgSbF4
1.0
6.679 -0.351 0.000
-3.018 5.969 0.000
-1.831 -2.809 5.788
F Ag Sb
8 2 2
Cartesian
-2.199 3.673 3.847 F
-0.689 0.689 4.834 F
-1.917 5.124 1.384 F
2.739 2.456 0.954 F
1.422 4.948 1.510 F
0.613 3.475 4.404 F
2.122 0.491 4.278 F
-0.601 2.632 1.940 F
4.133 1.042 2.894 Ag
0.794 1.218 0.000 Ag
2.765 4.243 0.000 Sb
2.444 -1.551 2.894 Sb
```

Properties
- Formation energy from raw total energies: -1.8957 eV/atom
- Total energy: -4.31 eV/atom
- N(E_F): 0.00 states/eV per atom
- Distance to the lowest polymorph of the same formula: 0 meV/atom
- Calculated volume: 225 Å³ per cell
- Size of the total moment: 0.0 μB per cell

=====

(3)
The following is a GGA-PBE calculation of a geometry-optimized Cs2KRb5Pd structure, from the Alexandria database.

Structure (POSCAR):
```
Cs2KRb5Pd
1.0
10.065 -0.152 -0.220
-4.913 8.786 0.220
-4.913 -2.923 8.289
Pd Rb K Cs
1 5 1 2
Cartesian
-9.806 5.852 8.492 Pd
2.465 1.324 1.921 Rb
-4.907 -0.131 6.358 Rb
-4.907 5.988 2.141 Rb
-2.215 4.381 6.358 Rb
-2.315 1.381 2.005 Rb
-7.556 4.509 6.544 K
0.122 5.782 2.125 Cs
0.122 -0.073 6.159 Cs
```

Properties
- Total energy: -1.38 eV/atom
- N(E_F): 1.04 states/eV per atom
- Calculated volume: 721 Å³ per cell
- Size of the total moment: 0.0 μB per cell